Ac2NpMoO8 | PBE with a Hubbard U | relaxed

Cell lengths 4.3411, 5.5980, 8.0746 Å; angles 97.87, 87.32, 98.54 degrees
Site moments in Bohr magnetons follow the coordinates.
Positions (direct):
1 Ac 0.5215 0.4671 0.7498  0.00
2 Ac 0.4785 0.5329 0.2502  0.00
3 Np 0.0000 0.0000 0.0000  1.26
4 Mo 0.0000 0.0000 0.5000  1.85
5 O 0.0451 0.8137 0.2608  0.00
6 O 0.5910 0.7823 0.0162  -0.04
7 O 0.9247 0.2673 0.1779  -0.04
8 O 0.9549 0.1863 0.7392  0.00
9 O 0.4090 0.2177 0.9838  -0.04
10 O 0.0753 0.7327 0.8221  -0.04
11 O 0.6443 0.7646 0.5314  -0.06
12 O 0.3557 0.2354 0.4686  -0.06

Summary:
D(E_F) in states/eV per cell: 0.26
ρ in g/cm3: 7.91
VASP energy in eV per atom: -8.381
Space-group type: P-1


AcNp2MoO8 | PBE with a Hubbard U | relaxed

Cell lengths 5.1157, 5.1138, 7.0958 Å; angles 90.00, 90.00, 88.07 degrees
Site moments in Bohr magnetons follow the coordinates.
Positions (direct):
1 Ac 0.0000 0.0000 0.5000  -0.01
2 Np 0.5000 0.5000 0.7616  2.38
3 Np 0.5000 0.5000 0.2384  2.38
4 Mo 0.0000 0.0000 0.0000  2.62
5 O 0.2087 0.7908 0.2201  -0.07
6 O 0.6961 0.6965 0.0000  -0.08
7 O 0.7912 0.2092 0.2201  -0.07
8 O 0.7913 0.2092 0.7799  -0.07
9 O 0.3039 0.3035 0.0000  -0.08
10 O 0.2088 0.7908 0.7799  -0.07
11 O 0.6692 0.6699 0.5000  -0.06
12 O 0.3308 0.3301 0.5000  -0.06

Summary:
D(E_F) in states/eV per cell: 4.16
ρ in g/cm3: 8.28
VASP energy in eV per atom: -9.157
Space-group type: Cmmm


AcMo3O12 | PBE with a Hubbard U | relaxed

Cell lengths 9.2213, 9.2213, 12.2062 Å; angles 67.81, 67.81, 60.00 degrees
Site moments in Bohr magnetons follow the coordinates.
Positions (direct):
1 Ac 0.1009 0.1009 0.6973  0.00
2 Ac 0.6009 0.6009 0.1973  0.00
3 Mo 0.7455 0.2203 0.0112  -0.17
4 Mo 0.2455 0.5230 0.5112  -0.17
5 Mo 0.7203 0.2455 0.5112  -0.17
6 Mo 0.2203 0.0230 0.0112  -0.17
7 Mo 0.0230 0.7455 0.0112  -0.17
8 Mo 0.5230 0.7203 0.5112  -0.17
9 O 0.9779 0.1180 0.0859  0.53
10 O 0.1677 0.3540 0.5875  0.13
11 O 0.7379 0.0560 0.4957  0.27
12 O 0.8679 0.2617 0.8580  0.07
13 O 0.3679 0.5124 0.3580  0.07
14 O 0.2379 0.2104 0.9957  0.27
15 O 0.6677 0.3908 0.0875  0.13
16 O 0.0560 0.7104 0.4957  0.27
17 O 0.4779 0.3182 0.5859  0.53
18 O 0.8908 0.1677 0.5875  0.13
19 O 0.7617 0.3679 0.3580  0.07
20 O 0.3182 0.6180 0.5859  0.53
21 O 0.2104 0.5560 0.9957  0.27
22 O 0.8182 0.9779 0.0859  0.53
23 O 0.2617 0.0124 0.8580  0.07
24 O 0.3908 0.8540 0.0875  0.13
25 O 0.8540 0.6677 0.0875  0.13
26 O 0.5560 0.2379 0.9957  0.27
27 O 0.6180 0.4779 0.5859  0.53
28 O 0.0124 0.8679 0.8580  0.07
29 O 0.5124 0.7617 0.3580  0.07
30 O 0.1180 0.8182 0.0859  0.53
31 O 0.3540 0.8908 0.5875  0.13
32 O 0.7104 0.7379 0.4957  0.27

Summary:
D(E_F) in states/eV per cell: 26.34
ρ in g/cm3: 2.90
VASP energy in eV per atom: -6.796
Space-group type: R3c


AcMo2O6 | PBE with a Hubbard U | relaxed

Cell lengths 5.2525, 5.4498, 5.4498 Å; angles 120.00, 90.00, 90.00 degrees
Site moments in Bohr magnetons follow the coordinates.
Positions (direct):
1 Ac 0.0000 0.0000 0.0000  0.00
2 Mo 0.5000 0.6667 0.3333  1.59
3 Mo 0.5000 0.3333 0.6667  1.59
4 O 0.7107 0.6215 0.6215  -0.04
5 O 0.2893 0.6215 0.0000  -0.04
6 O 0.2893 0.0000 0.6215  -0.04
7 O 0.7107 0.3785 0.0000  -0.04
8 O 0.2893 0.3785 0.3785  -0.04
9 O 0.7107 0.0000 0.3785  -0.04

Summary:
D(E_F) in states/eV per cell: 2.72
ρ in g/cm3: 6.33
VASP energy in eV per atom: -7.511
Space-group type: P-31m


Ac2MoO6 | PBE with a Hubbard U | relaxed

Cell lengths 5.3229, 5.3229, 10.7565 Å; angles 90.00, 90.00, 90.00 degrees
Positions (direct):
1 Ac 0.0000 0.0000 0.3321
2 Ac 0.5000 0.5000 0.8321
3 Ac 0.5000 0.5000 0.1679
4 Ac 0.0000 0.0000 0.6679
5 Mo 0.0000 0.0000 0.0000
6 Mo 0.5000 0.5000 0.5000
7 O 0.3238 0.3238 0.3634
8 O 0.6762 0.6762 0.3634
9 O 0.1762 0.8238 0.8634
10 O 0.8238 0.1762 0.8634
11 O 0.1762 0.8238 0.1366
12 O 0.8238 0.1762 0.1366
13 O 0.3238 0.3238 0.6366
14 O 0.6762 0.6762 0.6366
15 O 0.2574 0.2574 0.0000
16 O 0.7426 0.7426 0.0000
17 O 0.2426 0.7574 0.5000
18 O 0.7574 0.2426 0.5000

Summary:
D(E_F) in states/eV per cell: 0.00
Relative energy among the computed polymorphs in eV/atom: 0.106
ρ in g/cm3: 7.04
Space-group type: P4_2/mnm


Ac3Mo2O9 | PBE with a Hubbard U | relaxed

Cell lengths 7.2732, 7.2732, 7.2732 Å; angles 87.86, 87.86, 87.86 degrees
Site moments in Bohr magnetons follow the coordinates.
Positions (direct):
1 Ac 0.4086 0.7500 0.0914  0.01
2 Ac 0.2500 0.9086 0.5914  0.01
3 Ac 0.9086 0.5914 0.2500  0.01
4 Ac 0.0914 0.4086 0.7500  0.01
5 Ac 0.7500 0.0914 0.4086  0.01
6 Ac 0.5914 0.2500 0.9086  0.01
7 Mo 0.1549 0.1549 0.1549  0.47
8 Mo 0.6549 0.6549 0.6549  0.47
9 Mo 0.8451 0.8451 0.8451  0.47
10 Mo 0.3451 0.3451 0.3451  0.47
11 O 0.7414 0.9068 0.0854  -0.02
12 O 0.0932 0.9146 0.2586  -0.02
13 O 0.2500 0.4249 0.0751  0.01
14 O 0.5932 0.7586 0.4146  -0.02
15 O 0.5751 0.9249 0.7500  0.01
16 O 0.9249 0.7500 0.5751  0.01
17 O 0.2414 0.5854 0.4068  -0.02
18 O 0.5854 0.4068 0.2414  -0.02
19 O 0.9146 0.2586 0.0932  -0.02
20 O 0.0854 0.7414 0.9068  -0.02
21 O 0.4146 0.5932 0.7586  -0.02
22 O 0.4249 0.0751 0.2500  0.01
23 O 0.7586 0.4146 0.5932  -0.02
24 O 0.0751 0.2500 0.4249  0.01
25 O 0.4068 0.2414 0.5854  -0.02
26 O 0.7500 0.5751 0.9249  0.01
27 O 0.9068 0.0854 0.7414  -0.02
28 O 0.2586 0.0932 0.9146  -0.02

Summary:
D(E_F) in states/eV per cell: 6.99
ρ in g/cm3: 8.80
VASP energy in eV per atom: -7.603
Space-group type: R-3c


Ac5Mo2O12 | PBE with a Hubbard U | relaxed

Cell lengths 6.3885, 7.3907, 8.0546 Å; angles 105.42, 90.00, 115.61 degrees
Site moments in Bohr magnetons follow the coordinates.
Positions (direct):
1 Ac 0.3101 0.6202 0.6426  0.00
2 Ac 0.3068 0.6136 0.1659  0.00
3 Ac 0.0000 0.0000 0.5000  0.01
4 Ac 0.6932 0.3864 0.8341  0.00
5 Ac 0.6899 0.3798 0.3574  0.00
6 Mo 0.7577 0.0000 0.0000  1.50
7 Mo 0.2423 0.0000 0.0000  1.50
8 O 0.0010 0.0019 0.1682  0.00
9 O 0.1095 0.6888 0.9235  -0.02
10 O 0.5793 0.6888 0.9235  -0.02
11 O 0.0932 0.6893 0.4201  0.00
12 O 0.5962 0.6893 0.4201  0.00
13 O 0.5018 0.0035 0.8319  0.00
14 O 0.4982 0.9965 0.1681  0.00
15 O 0.9068 0.3107 0.5799  0.00
16 O 0.4038 0.3107 0.5799  0.00
17 O 0.8905 0.3112 0.0765  -0.02
18 O 0.4207 0.3112 0.0765  -0.02
19 O 0.9990 0.9981 0.8318  0.00

Summary:
D(E_F) in states/eV per cell: 1.83
ρ in g/cm3: 7.70
VASP energy in eV per atom: -7.842
Space-group type: C2/m


Ac4Mo6O19 | PBE with a Hubbard U | relaxed

Cell lengths 8.0693, 8.0693, 8.0693 Å; angles 109.47, 109.47, 109.47 degrees
Site moments in Bohr magnetons follow the coordinates.
Positions (direct):
1 Ac 0.0000 0.0000 0.6818  0.01
2 Ac 0.0000 0.6818 0.0000  0.01
3 Ac 0.3182 0.3182 0.3182  0.01
4 Ac 0.6818 0.0000 0.0000  0.01
5 Mo 0.3620 0.5000 0.8620  0.64
6 Mo 0.6380 0.5000 0.1380  0.64
7 Mo 0.1380 0.6380 0.5000  0.64
8 Mo 0.8620 0.3620 0.5000  0.64
9 Mo 0.5000 0.8620 0.3620  0.64
10 Mo 0.5000 0.1380 0.6380  0.64
11 O 0.6722 0.0000 0.6722  0.02
12 O 0.3278 0.0000 0.3278  0.02
13 O 0.3278 0.3278 0.0000  0.02
14 O 0.6722 0.6722 0.0000  0.02
15 O 0.0000 0.6722 0.6722  0.02
16 O 0.0000 0.3278 0.3278  0.02
17 O 0.0000 0.0000 0.0000  0.00
18 O 0.3108 0.2594 0.6306  -0.01
19 O 0.6892 0.3199 0.9486  -0.01
20 O 0.6287 0.6801 0.3694  -0.01
21 O 0.9486 0.6892 0.3199  -0.01
22 O 0.3713 0.7406 0.0514  -0.01
23 O 0.6306 0.3108 0.2594  -0.01
24 O 0.0514 0.3713 0.7406  -0.01
25 O 0.3694 0.6287 0.6801  -0.01
26 O 0.7406 0.0514 0.3713  -0.01
27 O 0.3199 0.9486 0.6892  -0.01
28 O 0.2594 0.6306 0.3108  -0.01
29 O 0.6801 0.3694 0.6287  -0.01

Summary:
D(E_F) in states/eV per cell: 2.80
ρ in g/cm3: 7.34
VASP energy in eV per atom: -7.562
Space-group type: I23


Number 1: magnetization 0.25 μB/atom. Number 2: magnetization 0.58 μB/atom. Number 3: magnetization 0.20 μB/atom. Number 4: magnetization 0.33 μB/atom. Number 5: magnetization 0.00 μB/atom. Number 6: magnetization 0.07 μB/atom. Number 7: magnetization 0.16 μB/atom. Number 8: magnetization 0.14 μB/atom.